Model w:
The following is a DFT calculation (GGA-PBE) of crystalline TlCd3N at its relaxed geometry.

Cell lengths 5.508, 5.508, 5.508 Å; angles 90.00, 90.00, 90.00 degrees
Space group Pm-3m (No. 221)
Inequivalent atoms, fractional coordinates:
Tl 0.000 0.000 0.000 x1
Cd 0.000 0.000 0.500 x3
N 0.500 0.500 0.500 x1

Values from the calculation:
DOS at the Fermi energy   4.0122 states/eV per atom



Model x:
The following is a DFT calculation (GGA-PBE) of crystalline TlCd3N at its relaxed geometry.

Cell lengths 4.745, 4.745, 4.745 Å; angles 90.00, 90.00, 90.00 degrees
Space group Pm-3m (No. 221)
Inequivalent atoms, fractional coordinates:
Tl 0.000 0.000 0.000 x1
Cd 0.000 0.500 0.500 x3
N 0.500 0.500 0.500 x1

Values from the calculation:
DOS at the Fermi energy   0.6965 states/eV per atom



Top of the stability list: model x, leading by 106.5 kJ/mol of atoms.



Model w:
The following is a DFT calculation (GGA-PBE) of crystalline TlCdN2 at its relaxed geometry.

Cell lengths 6.112, 6.112, 6.112 Å; angles 90.00, 90.00, 90.00 degrees
Space group Fm-3m (No. 225)
Inequivalent atoms, fractional coordinates:
Tl 0.000 0.000 0.000 x4
Cd 0.000 0.000 0.500 x4
N 0.250 0.250 0.250 x8

Values from the calculation:
DOS at the Fermi energy   0.4557 states/eV per atom



Model x:
The following is a DFT calculation (GGA-PBE) of crystalline TlCdN2 at its relaxed geometry.

Cell lengths 3.6491, 3.6491, 18.7292 Å; angles 90.00, 90.00, 120.00 degrees
Space group R-3m (No. 166, hexagonal axes)
Inequivalent atoms, fractional coordinates:
Tl 0.0000 0.0000 0.0000 x3
Cd 0.0000 0.0000 0.5000 x3
N 0.0000 0.0000 0.1087 x6

Values from the calculation:
DOS at the Fermi energy   0.6532 states/eV per atom



Model y:
The following is a DFT calculation (GGA-PBE) of crystalline TlCdN2 at its relaxed geometry.

Cell lengths 3.5523, 3.5523, 19.3238 Å; angles 90.00, 90.00, 120.00 degrees
Space group R-3m (No. 166, hexagonal axes)
Inequivalent atoms, fractional coordinates:
Tl 0.0000 0.0000 0.0000 x3
Cd 0.0000 0.0000 0.5000 x3
N 0.0000 0.0000 0.3930 x6

Values from the calculation:
DOS at the Fermi energy   0.6756 states/eV per atom



Top of the stability list: model y, leading by 4.3 kJ/mol of atoms.



Model w:
The following is a DFT calculation (GGA-PBE) of crystalline Tl2CdN at its relaxed geometry.

Cell lengths 7.108, 7.108, 7.108 Å; angles 90.00, 90.00, 90.00 degrees
Space group Fm-3m (No. 225)
Inequivalent atoms, fractional coordinates:
Tl 0.250 0.250 0.250 x8
Cd 0.000 0.000 0.000 x4
N 0.000 0.000 0.500 x4

Values from the calculation:
DOS at the Fermi energy   0.9108 states/eV per atom



Model x:
The following is a DFT calculation (GGA-PBE) of crystalline Tl2CdN at its relaxed geometry.

Cell lengths 6.798, 6.798, 8.994 Å; angles 90.00, 90.00, 90.00 degrees
Space group I-42d (No. 122)
Inequivalent atoms, fractional coordinates:
Tl 0.167 0.250 0.125 x8
Cd 0.000 0.000 0.500 x4
N 0.000 0.000 0.000 x4

Values from the calculation:
DOS at the Fermi energy   0.3058 states/eV per atom



Top of the stability list: model x, leading by 38.4 kJ/mol of atoms.